# 1
{
  "formula": "Th6Ir3PbSe2",
  "functional": "PBE",
  "state": "optimized geometry",
  "dft_energy_ev_per_fu": -94.6,
  "space_group": "C2/m",
  "dos_at_fermi_per_ev_atom": 0.743,
  "cell": [[9.5430, -2.0816, 0.0000], [9.5430, 2.0816, 0.0000], [-2.7084, 0.0000, 8.4511]],
  "species": ["Th", "Th", "Th", "Th", "Th", "Th", "Ir", "Ir", "Ir", "Pb", "Se", "Se"],
  "fractional_positions": [[0.0079, 0.0079, 0.2237], [0.3234, 0.3234, 0.4356], [0.3388, 0.3388, 0.9005], [0.6612, 0.6612, 0.0995], [0.6766, 0.6766, 0.5644], [0.9921, 0.9921, 0.7763], [0.1677, 0.1677, 0.3293], [0.5000, 0.5000, 0.0000], [0.8323, 0.8323, 0.6707], [0.5000, 0.5000, 0.5000], [0.1680, 0.1680, 0.8359], [0.8320, 0.8320, 0.1641]]
}



# 2
{
  "formula": "Th4IrPbSe2",
  "functional": "PBE",
  "state": "optimized geometry",
  "dft_energy_ev_per_fu": -57.5,
  "space_group": "P2/m",
  "dos_at_fermi_per_ev_atom": 0.856,
  "cell": [[7.4740, 0.0000, 0.0000], [0.0000, 4.2213, 0.0000], [-2.4953, 0.0000, 7.3268]],
  "species": ["Th", "Th", "Th", "Th", "Ir", "Pb", "Se", "Se"],
  "fractional_positions": [[0.2244, 0.0000, 0.2184], [0.2529, 0.5000, 0.7727], [0.7471, 0.5000, 0.2273], [0.7756, 0.0000, 0.7816], [0.0000, 0.5000, 0.0000], [0.0000, 0.0000, 0.5000], [0.5000, 0.0000, 0.0000], [0.5000, 0.5000, 0.5000]]
}



# 3
{
  "formula": "Tm4IrPbSe2",
  "functional": "PBE",
  "state": "optimized geometry",
  "dft_energy_ev_per_fu": -46.3,
  "space_group": "P2/m",
  "dos_at_fermi_per_ev_atom": 0.529,
  "cell": [[7.0657, 0.0000, 0.0000], [0.0000, 3.9882, 0.0000], [-2.3234, 0.0000, 7.1405]],
  "species": ["Tm", "Tm", "Tm", "Tm", "Ir", "Pb", "Se", "Se"],
  "fractional_positions": [[0.2239, 0.0000, 0.2348], [0.2240, 0.5000, 0.7483], [0.7761, 0.0000, 0.7652], [0.7760, 0.5000, 0.2517], [0.0000, 0.5000, 0.0000], [0.5000, 0.0000, 0.0000], [0.0000, 0.0000, 0.5000], [0.5000, 0.5000, 0.5000]]
}



Number 1: size of the total moment 0.00 μB per atom, formation energy from raw total energies -1068.5 meV/atom. Number 2: size of the total moment 0.00 μB per atom, formation energy from raw total energies -1040.5 meV/atom. Number 3: size of the total moment 0.00 μB per atom, formation energy from raw total energies -1105.5 meV/atom.